1.
Compound: ZrAg4
Source: Alexandria via LeMat-Bulk
Functional: PBE
Structure: relaxed

a b c (Å): 2.9761 7.8890 4.2098
angles (deg): 74.53 90.00 79.13
Sites, in units of the cell vectors:
Ag 0.2031 0.5937 0.2031
Ag 0.9969 0.0063 0.9969
Ag 0.8003 0.3994 0.8003
Ag 0.3997 0.2006 0.3997
Zr 0.6000 0.8000 0.6000

Values from the calculation:
- V (A^3/atom) = 18.683
- calculated total energy (eV for the cell shown) = -20.0
- space group = Immm, No. 71
- formation energy from the elements (eV/atom) = -0.008



2.
Compound: Y3Tm5Pb2
Source: Alexandria via LeMat-Bulk
Functional: PBE
Structure: relaxed

a b c (Å): 6.3155 10.5696 10.5696
angles (deg): 95.82 72.62 72.62
Sites, in units of the cell vectors:
Y 0.1194 0.0966 0.6646
Y 0.3806 0.3354 0.9034
Y 0.8806 0.9034 0.3354
Y 0.2500 0.0000 0.0000
Y 0.6194 0.6646 0.0966
Y 0.7500 0.0000 0.0000
Tm 0.0027 0.7473 0.7473
Tm 0.2500 0.5000 0.5000
Tm 0.9973 0.2527 0.2527
Tm 0.5027 0.7473 0.7473
Tm 0.6042 0.2324 0.5593
Tm 0.3958 0.7676 0.4407
Tm 0.4973 0.2527 0.2527
Tm 0.8958 0.4407 0.7676
Tm 0.7500 0.5000 0.5000
Tm 0.1042 0.5593 0.2324
Pb 0.8564 0.2926 0.9947
Pb 0.1436 0.7074 0.0053
Pb 0.3564 0.9947 0.2926
Pb 0.6436 0.0053 0.7074

Values from the calculation:
- V (A^3/atom) = 31.417
- calculated total energy (eV for the cell shown) = -97.5
- space group = Ibam, No. 72
- formation energy from the elements (eV/atom) = 0.043



3.
Compound: HfZr2Ti3Pb3
Source: Alexandria via LeMat-Bulk
Functional: PBE
Structure: relaxed

a b c (Å): 3.1238 8.5294 8.5294
angles (deg): 120.00 90.00 90.00
Sites, in units of the cell vectors:
Zr 0.5000 0.3333 0.6667
Zr 0.5000 0.6667 0.3333
Ti 0.5000 0.2935 0.2935
Ti 0.5000 0.0000 0.7065
Ti 0.5000 0.7065 0.0000
Pb 0.0000 0.0000 0.3659
Pb 0.0000 0.6341 0.6341
Pb 0.0000 0.3659 0.0000
Hf 0.0000 0.0000 0.0000

Values from the calculation:
- V (A^3/atom) = 21.868
- calculated total energy (eV for the cell shown) = -60.1
- space group = P-62m, No. 189
- formation energy from the elements (eV/atom) = 0.193



4.
Compound: CuHg3F6
Source: Alexandria via LeMat-Bulk
Functional: PBE
Structure: relaxed

a b c (Å): 5.4464 6.1204 9.8206
angles (deg): 96.57 90.00 90.00
Sites, in units of the cell vectors:
F 0.1991 0.7871 0.8926
F 0.2295 0.6128 0.6179
F 0.3009 0.2871 0.3926
F 0.7295 0.8872 0.8821
F 0.6204 0.2548 0.6618
F 0.7705 0.3872 0.3821
F 0.1204 0.2452 0.8382
F 0.8009 0.2129 0.1074
F 0.6991 0.7129 0.6074
F 0.3796 0.7452 0.3382
F 0.2705 0.1128 0.1179
F 0.8796 0.7548 0.1618
Hg 0.5000 0.5000 0.0000
Hg 0.1133 0.4737 0.2183
Hg 0.3867 0.9737 0.7183
Hg 0.0000 0.0000 0.5000
Hg 0.6133 0.0263 0.2817
Hg 0.8867 0.5263 0.7817
Cu 0.0000 0.0000 0.0000
Cu 0.5000 0.5000 0.5000

Values from the calculation:
- V (A^3/atom) = 16.260
- calculated total energy (eV for the cell shown) = -57.8
- formation energy (no corrections) (meV per atom) = -1269
- space group = P2_1/c, No. 14



5.
Compound: TiFe2TcH
Source: Alexandria via LeMat-Bulk
Functional: PBE
Structure: relaxed

a b c (Å): 3.6618 3.6618 3.9805
angles (deg): 90.00 90.00 90.00
Sites, in units of the cell vectors:
Tc 0.5000 0.5000 0.5000
H 0.0000 0.0000 0.0000
Fe 0.5000 0.0000 0.0000
Fe 0.0000 0.5000 0.0000
Ti 0.0000 0.0000 0.5000

Values from the calculation:
- V (A^3/atom) = 10.674
- calculated total energy (eV for the cell shown) = -39.0
- space group = P4/mmm, No. 123



6.
Compound: NdErNi
Source: Alexandria via LeMat-Bulk
Functional: PBE
Structure: relaxed

a b c (Å): 3.7146 6.9901 6.3446
angles (deg): 104.42 107.00 74.55
Sites, in units of the cell vectors:
Nd 0.7418 0.6861 0.5648
Nd 0.0741 0.5285 0.0726
Ni 0.0295 0.9384 0.3936
Ni 0.7860 0.2761 0.2437
Er 0.3233 0.9942 0.0362
Er 0.4925 0.2205 0.6012

Values from the calculation:
- V (A^3/atom) = 24.868
- calculated total energy (eV for the cell shown) = -31.8
- space group = C2/m, No. 12
- formation energy from the elements (eV/atom) = -0.256



7.
Compound: BaPm2Tl
Source: Alexandria via LeMat-Bulk
Functional: PBE
Structure: relaxed

a b c (Å): 5.1084 5.1811 5.1811
angles (deg): 90.00 90.00 90.00
Sites, in units of the cell vectors:
Pm 0.0000 0.0000 0.5000
Pm 0.0000 0.5000 0.0000
Tl 0.5000 0.5000 0.5000
Ba 0.5000 0.0000 0.0000

Values from the calculation:
- V (A^3/atom) = 34.282
- calculated total energy (eV for the cell shown) = -13.9
- space group = P4/mmm, No. 123
- formation energy from the elements (eV/atom) = -0.031



8.
Compound: MnCdAs2Ir
Source: Alexandria via LeMat-Bulk
Functional: PBE
Structure: relaxed

a b c (Å): 4.9690 5.0184 4.9690
angles (deg): 90.00 90.00 90.00
Sites, in units of the cell vectors:
As 0.5000 0.0000 0.0000
As 0.0000 0.0000 0.5000
Mn 0.5000 0.5000 0.5000
Cd 0.0000 0.0000 0.0000
Ir 0.0000 0.5000 0.0000

Values from the calculation:
- V (A^3/atom) = 24.781
- calculated total energy (eV for the cell shown) = -20.8
- space group = P4/mmm, No. 123
- formation energy from the elements (eV/atom) = 1.492



9.
Compound: Dy2AlGa
Source: Alexandria via LeMat-Bulk
Functional: PBE
Structure: relaxed

a b c (Å): 3.5791 3.5791 7.2017
angles (deg): 90.00 90.00 90.00
Sites, in units of the cell vectors:
Al 0.5000 0.5000 0.5000
Dy 0.0000 0.0000 0.7533
Dy 0.0000 0.0000 0.2467
Ga 0.5000 0.5000 0.0000

Values from the calculation:
- V (A^3/atom) = 23.064
- calculated total energy (eV for the cell shown) = -17.9
- space group = P4/mmm, No. 123
- formation energy from the elements (eV/atom) = -0.489



10.
Compound: PaIO6
Source: Alexandria via LeMat-Bulk
Functional: PBE
Structure: relaxed

a b c (Å): 5.6718 5.6721 5.7050
angles (deg): 60.19 60.18 59.99
Sites, in units of the cell vectors:
O 0.7669 0.1950 0.7663
O 0.2331 0.8050 0.2337
O 0.8049 0.7283 0.2334
O 0.7280 0.2335 0.2334
O 0.2720 0.7665 0.7666
O 0.1951 0.2717 0.7666
Pa 0.5000 0.5000 0.5000
I 0.0000 0.0000 0.0000

Values from the calculation:
- V (A^3/atom) = 16.267
- calculated total energy (eV for the cell shown) = -54.1
- formation energy (no corrections) (meV per atom) = -1667
- space group = R-3, No. 148



11.
Compound: Li2CePd8
Source: Alexandria via LeMat-Bulk
Functional: PBE
Structure: relaxed

a b c (Å): 4.1459 6.2925 7.3361
angles (deg): 106.14 106.41 90.00
Sites, in units of the cell vectors:
Pd 0.5963 0.4676 0.1927
Pd 0.9531 0.2756 0.9063
Pd 0.0469 0.7244 0.0937
Pd 0.3166 0.0773 0.6331
Pd 0.4037 0.5324 0.8073
Pd 0.6834 0.9227 0.3669
Pd 0.1445 0.2036 0.2891
Pd 0.8555 0.7964 0.7109
Li 0.7733 0.3524 0.5466
Li 0.2267 0.6476 0.4534
Ce 0.5000 0.0000 0.0000

Values from the calculation:
- V (A^3/atom) = 15.973
- calculated total energy (eV for the cell shown) = -56.6
- space group = C2/m, No. 12
- formation energy from the elements (eV/atom) = -0.477



12.
Compound: BaLaTc3
Source: Alexandria via LeMat-Bulk
Functional: PBE
Structure: relaxed

a b c (Å): 5.0497 5.0497 5.0497
angles (deg): 90.00 90.00 90.00
Sites, in units of the cell vectors:
Tc 0.0000 0.5000 0.0000
Tc 0.5000 0.0000 0.0000
Tc 0.0000 0.0000 0.5000
La 0.0000 0.0000 0.0000
Ba 0.5000 0.5000 0.5000

Values from the calculation:
- V (A^3/atom) = 25.752
- calculated total energy (eV for the cell shown) = -29.7
- space group = Pm-3m, No. 221
- formation energy from the elements (eV/atom) = 1.653



13.
Compound: H2OsN
Source: Alexandria via LeMat-Bulk
Functional: PBE
Structure: relaxed

a b c (Å): 2.8619 2.8614 4.9965
angles (deg): 89.60 89.84 60.00
Sites, in units of the cell vectors:
Os 0.0047 0.2088 0.2136
N 0.3378 0.5449 0.9878
H 0.6722 0.8729 0.4369
H 0.3376 0.5480 0.7815

Values from the calculation:
- V (A^3/atom) = 8.859
- calculated total energy (eV for the cell shown) = -25.6
- space group = P1, No. 1



14.
Compound: HoZn10Cd
Source: Alexandria via LeMat-Bulk
Functional: PBE
Structure: relaxed

a b c (Å): 4.2827 5.2222 9.1756
angles (deg): 90.00 90.00 90.00
Sites, in units of the cell vectors:
Zn 0.5000 0.7393 0.7361
Zn 0.5000 0.0000 0.5000
Zn 0.0000 0.5000 0.1591
Zn 0.5000 0.2607 0.7361
Zn 0.5000 0.2607 0.2639
Zn 0.5000 0.7393 0.2639
Zn 0.0000 0.0000 0.6841
Zn 0.0000 0.5000 0.8409
Zn 0.5000 0.5000 0.0000
Zn 0.0000 0.0000 0.3159
Ho 0.0000 0.5000 0.5000
Cd 0.0000 0.0000 0.0000

Values from the calculation:
- V (A^3/atom) = 17.101
- calculated total energy (eV for the cell shown) = -19.5
- space group = Pmmm, No. 47
- formation energy from the elements (eV/atom) = -0.104



15.
Compound: KRb14S
Source: Alexandria via LeMat-Bulk
Functional: PBE
Structure: relaxed

a b c (Å): 10.0871 10.0871 13.0393
angles (deg): 90.00 90.00 102.52
Sites, in units of the cell vectors:
Rb 0.1054 0.3728 0.5000
Rb 0.1039 0.8961 0.0000
Rb 0.8908 0.1092 0.2911
Rb 0.8032 0.5296 0.3319
Rb 0.8032 0.5296 0.6681
Rb 0.4704 0.1968 0.6681
Rb 0.3416 0.6584 0.2418
Rb 0.0583 0.3778 0.0000
Rb 0.3416 0.6584 0.7582
Rb 0.4704 0.1968 0.3319
Rb 0.5813 0.4187 0.0000
Rb 0.6222 0.9417 0.0000
Rb 0.8908 0.1092 0.7089
Rb 0.6272 0.8946 0.5000
S 0.7576 0.2424 0.5000
K 0.1320 0.8680 0.5000

Values from the calculation:
- V (A^3/atom) = 80.950
- calculated total energy (eV for the cell shown) = -20.9
- formation energy (no corrections) (meV per atom) = -131
- space group = Amm2, No. 38



16.
Compound: FeIrSe3
Source: Alexandria via LeMat-Bulk
Functional: PBE
Structure: relaxed

a b c (Å): 4.5655 4.5655 4.5655
angles (deg): 90.00 90.00 90.00
Sites, in units of the cell vectors:
Se 0.0000 0.5000 0.0000
Se 0.5000 0.0000 0.0000
Se 0.0000 0.0000 0.5000
Ir 0.5000 0.5000 0.5000
Fe 0.0000 0.0000 0.0000

Values from the calculation:
- V (A^3/atom) = 19.032
- calculated total energy (eV for the cell shown) = -23.1
- formation energy (no corrections) (meV per atom) = 927
- space group = Pm-3m, No. 221



17.
Compound: Li3CeI6
Source: Alexandria via LeMat-Bulk
Functional: PBE
Structure: relaxed

a b c (Å): 8.5963 8.6859 8.6862
angles (deg): 60.77 60.44 60.43
Sites, in units of the cell vectors:
Li 0.5000 0.5000 0.5000
Li 0.5000 0.0000 0.5000
Li 0.5000 0.5000 0.0000
I 0.7218 0.7698 0.2744
I 0.7258 0.2782 0.7660
I 0.7393 0.2563 0.2565
I 0.2742 0.7218 0.2340
I 0.2782 0.2302 0.7256
I 0.2607 0.7437 0.7435
Ce 0.0000 0.0000 0.0000

Values from the calculation:
- V (A^3/atom) = 46.426
- calculated total energy (eV for the cell shown) = -32.8
- formation energy (no corrections) (meV per atom) = -1181
- space group = P-1, No. 2



18.
Compound: AcYAs
Source: Alexandria via LeMat-Bulk
Functional: PBE
Structure: relaxed

a b c (Å): 4.5492 4.9085 4.9085
angles (deg): 120.00 90.00 90.00
Sites, in units of the cell vectors:
Ac 0.6856 0.6667 0.3333
Y 0.1810 0.3333 0.6667
As 0.1335 0.0000 0.0000

Values from the calculation:
- V (A^3/atom) = 31.640
- calculated total energy (eV for the cell shown) = -17.0
- space group = P3m1, No. 156
- formation energy from the elements (eV/atom) = -0.605



19.
Compound: TbPuPSe
Source: Alexandria via LeMat-Bulk
Functional: PBE
Structure: relaxed

a b c (Å): 4.0692 4.0692 7.0721
angles (deg): 73.28 73.28 60.00
Sites, in units of the cell vectors:
P 0.4442 0.4442 0.6674
Pu 0.1888 0.1888 0.4337
Tb 0.6993 0.6993 0.9020
Se 0.9441 0.9441 0.1676

Values from the calculation:
- V (A^3/atom) = 23.914
- calculated total energy (eV for the cell shown) = -34.2
- formation energy (no corrections) (meV per atom) = -1592
- space group = R3m, No. 160



20.
Compound: KAc2RuO6
Source: Alexandria via LeMat-Bulk
Functional: PBE
Structure: relaxed

a b c (Å): 5.8396 6.4090 8.5429
angles (deg): 90.00 88.60 90.00
Sites, in units of the cell vectors:
O 0.7875 0.8446 0.5383
O 0.6469 0.2557 0.5908
O 0.3753 0.9201 0.7112
O 0.8531 0.7557 0.9092
O 0.8753 0.5799 0.2112
O 0.2125 0.1554 0.4617
O 0.1469 0.2443 0.0908
O 0.7125 0.3446 0.9617
O 0.3531 0.7443 0.4092
O 0.2875 0.6554 0.0383
O 0.6247 0.0799 0.2888
O 0.1247 0.4201 0.7888
K 0.5000 0.0000 0.0000
K 0.0000 0.5000 0.5000
Ac 0.9827 0.0590 0.7375
Ac 0.0173 0.9410 0.2625
Ac 0.4827 0.4410 0.2375
Ac 0.5173 0.5590 0.7625
Ru 0.5000 0.0000 0.5000
Ru 0.0000 0.5000 0.0000

Values from the calculation:
- V (A^3/atom) = 15.981
- calculated total energy (eV for the cell shown) = -142.2
- formation energy (no corrections) (meV per atom) = -2274
- space group = P2_1/c, No. 14



21.
Compound: AlV5Tc6
Source: Alexandria via LeMat-Bulk
Functional: PBE
Structure: relaxed

a b c (Å): 4.2814 6.0709 7.4123
angles (deg): 114.17 106.79 90.00
Sites, in units of the cell vectors:
Al 0.0000 0.0000 0.0000
Tc 0.8309 0.5782 0.6619
Tc 0.1690 0.9164 0.3381
Tc 0.1691 0.4218 0.3381
Tc 0.5000 0.2566 0.0000
Tc 0.5000 0.7434 0.0000
Tc 0.8310 0.0836 0.6619
V 0.6620 0.1620 0.3240
V 0.6679 0.6679 0.3357
V 0.0000 0.5000 0.0000
V 0.3380 0.8380 0.6760
V 0.3321 0.3321 0.6643

Values from the calculation:
- V (A^3/atom) = 13.894
- calculated total energy (eV for the cell shown) = -116.0
- space group = Immm, No. 71
- formation energy from the elements (eV/atom) = -0.375



22.
Compound: ZrZn3Hg
Source: Alexandria via LeMat-Bulk
Functional: PBE
Structure: relaxed

a b c (Å): 4.8225 4.8225 4.8225
angles (deg): 90.00 90.00 90.00
Sites, in units of the cell vectors:
Zn 0.0000 0.0000 0.5000
Zn 0.0000 0.5000 0.0000
Zn 0.5000 0.0000 0.0000
Zr 0.5000 0.5000 0.5000
Hg 0.0000 0.0000 0.0000

Values from the calculation:
- V (A^3/atom) = 22.430
- calculated total energy (eV for the cell shown) = -9.3
- space group = Pm-3m, No. 221
- formation energy from the elements (eV/atom) = 0.680



23.
Compound: Th8PdRh5
Source: Alexandria via LeMat-Bulk
Functional: PBE
Structure: relaxed

a b c (Å): 7.7290 7.7290 7.7290
angles (deg): 109.04 110.34 109.04
Sites, in units of the cell vectors:
Th 0.6263 0.3559 0.8745
Th 0.5186 0.6441 0.2704
Th 0.7296 0.2482 0.3737
Th 0.1255 0.7518 0.4814
Th 0.6341 0.8641 0.8779
Th 0.1221 0.7562 0.9862
Th 0.2300 0.2438 0.3659
Th 0.0138 0.1359 0.7700
Pd 0.2500 0.5000 0.7500
Rh 0.7432 0.6163 0.6254
Rh 0.3746 0.1178 0.9910
Rh 0.8732 0.8822 0.2568
Rh 0.5000 0.0000 0.5000
Rh 0.0090 0.3837 0.1268

Values from the calculation:
- V (A^3/atom) = 25.383
- calculated total energy (eV for the cell shown) = -111.7
- space group = I-4, No. 82
- formation energy from the elements (eV/atom) = -0.742



Calculated density values, unit Mg/m³, following the record order: 9.3 8.1 9.5 8.0 8.0 8.2 7.6 6.8 7.6 5.8 9.5 7.4 9.7 7.5 1.6 8.5 3.3 6.8 8.9 7.2 8.7 7.2 11.6.